First-principles (PBE) data for crystalline MgAlAu at its relaxed geometry, as listed in the Alexandria database.

Structure (POSCAR):
```
MgAlAu
1.0
2.2241 1.2841 6.6339
-2.2241 1.2841 6.6339
0.0000 -2.5682 6.6339
Mg Al Au
2 2 2
Cartesian
0.0000 0.0000 0.0000
0.0000 0.0000 3.1736
0.0000 0.0000 11.4968
0.0000 0.0000 14.7732
0.0000 0.0000 5.7804
0.0000 0.0000 8.7661
```

Properties
Total magnetic moment: 0.00 μB/cell
Theoretical density: 7252 kg/m³
DOS at the Fermi energy: 0.349 states/eV/atom
DFT total energy: -19.8 eV/cell
Formation energy: -0.42 eV/atom